# GGA+U Rb2ScW3O12, relaxed
data_Rb2ScW3O12
_chemical_formula_sum 'Rb2 Sc1 W3 O12'
_cell_length_a 7.479
_cell_length_b 7.479
_cell_length_c 7.479
_cell_angle_alpha 59.73
_cell_angle_beta 59.73
_cell_angle_gamma 59.73
_space_group_name_H-M_alt 'P 1'
_space_group_IT_number 1
_space_group_name_Hall 'P 1'
loop_
_atom_site_label
_atom_site_fract_x
_atom_site_fract_y
_atom_site_fract_z
_atom_site_occupancy
Rb1 0.134 0.134 0.134 1
Rb2 0.866 0.866 0.866 1
Sc1 0.500 0.500 0.500 1
W1 0.000 0.500 0.500 1
W2 0.500 0.000 0.500 1
W3 0.500 0.500 0.000 1
O1 0.166 0.568 0.568 1
O2 0.192 0.192 0.564 1
O3 0.192 0.564 0.192 1
O4 0.432 0.432 0.834 1
O5 0.432 0.834 0.432 1
O6 0.436 0.808 0.808 1
O7 0.564 0.192 0.192 1
O8 0.568 0.166 0.568 1
O9 0.568 0.568 0.166 1
O10 0.808 0.436 0.808 1
O11 0.808 0.808 0.436 1
O12 0.834 0.432 0.432 1
# Total magnetic moment in μB/f.u.: 1.10
# Uncorrected energy in eV per atom: -7.13
# Space group: No. 166
# Calculated volume in Å³ per atom: 16.3